First-principles (PBE-GGA) data for a relaxed ScTaSb2I crystal, as listed in Alexandria.

Calculated values
Formation energy from raw total energies: 2.48 eV/f.u.
Raw total energy: -5.099 eV per atom
Energy above the lowest structure with this stoichiometry: 0.00 eV per formula unit
M_tot: 1.18 Bohr magnetons per cell
Crystal system: tetragonal

Unit cell a=5.362 b=5.362 c=5.574 alpha=90.00 beta=90.00 gamma=90.00
Site moments in Bohr magnetons follow the coordinates.
Element x y z (fractional)
Sc 0.500 0.500 0.500  0.71
Sb 0.000 0.500 0.000  -0.03
Sb 0.500 0.000 0.000  -0.03
I 0.000 0.000 0.500  -0.02
Ta 0.000 0.000 0.000  0.18